No. 1
Entry from Alexandria: a relaxed structure of H2Au3Se2 (PBE).

abc: 4.1733 5.6797 9.3113
angles: 58.01 70.19 110.37
With the nearest neighbours (Å) after each atom.
Atoms (fractional coordinates):
Au1 0.0000 0.0000 0.0000  2 H 1.81
Au2 0.6677 0.7597 0.7575  1 H 1.71
Au3 0.3323 0.2403 0.2425  1 H 1.71
H1 0.8244 0.5462 0.1643  2 Au 1.71-1.81
H2 0.1756 0.4538 0.8357  2 Au 1.71-1.81
Se1 0.5976 0.8386 0.3507  3 Au 2.49-2.74
Se2 0.4024 0.1614 0.6493  3 Au 2.49-2.74

Output
As for the total magnetization: 0.0 Bohr magnetons per cell. For the total energy, the calculation gives -3.24 eV per atom. The value obtained for the density of states at the Fermi level is 0.2153 states/eV/atom.

No. 2
Entry from Alexandria: a relaxed structure of ReAg2Ir (PBE).

abc: 2.7764 4.6768 5.0107
angles: 90.00 90.00 90.00
With the nearest neighbours (Å) after each atom.
Atoms (fractional coordinates):
Ag1 0.5000 0.5000 0.0000  6 Ag 2.72-2.78, 4 Re 2.86
Ag2 0.0000 0.0000 0.0000  6 Ag 2.72-2.78, 4 Ir 2.86
Re1 0.0000 0.5000 0.5000  4 Ir 2.72, 2 Re 2.78, 4 Ag 2.86
Ir1 0.5000 0.0000 0.5000  4 Re 2.72, 2 Ir 2.78, 4 Ag 2.86

Output
As for the total magnetization: 0.0 Bohr magnetons per cell. Its formation energy is 0.562 eV/atom. The offset from the most stable computed form comes out at 0.354 eV/atom. The value obtained for the density of states at the Fermi level is 1.4311 states/eV/atom.

Please write out number 1 again, unchanged.
Entry from Alexandria: a relaxed structure of H2Au3Se2 (PBE).

abc: 4.1733 5.6797 9.3113
angles: 58.01 70.19 110.37
With the nearest neighbours (Å) after each atom.
Atoms (fractional coordinates):
Au1 0.0000 0.0000 0.0000  2 H 1.81
Au2 0.6677 0.7597 0.7575  1 H 1.71
Au3 0.3323 0.2403 0.2425  1 H 1.71
H1 0.8244 0.5462 0.1643  2 Au 1.71-1.81
H2 0.1756 0.4538 0.8357  2 Au 1.71-1.81
Se1 0.5976 0.8386 0.3507  3 Au 2.49-2.74
Se2 0.4024 0.1614 0.6493  3 Au 2.49-2.74

Output
As for the total magnetization: 0.0 Bohr magnetons per cell. For the total energy, the calculation gives -3.24 eV per atom. The value obtained for the density of states at the Fermi level is 0.2153 states/eV/atom.

Q: What is the total magnetization in the second record?
A: 0.0 Bohr magnetons per cell

Q: Which value of total magnetization does entry 1 give?
A: 0.0 Bohr magnetons per cell